# 1
VASP calculation (GGA-PBEsol) on an optimized crystal structure of CuNi2Pb.

Cell: 3.754 3.754 4.670 Å, 113.70 113.70 90.00°
Element x y z (fractional)
Cu1 0.000 0.000 0.000
Ni1 0.250 0.750 0.500
Ni2 0.500 0.500 0.000
Pb1 0.750 0.250 0.500

Values from the calculation:
The calculated total energy is -19.9 eV/cell. As for the formation energy: 0.78 eV per formula unit. Its space-group type is I-4m2, No. 119.

# 2
VASP calculation (GGA-PBEsol) on an optimized crystal structure of YInTc2.

Cell: 3.506 3.506 6.157 Å, 90.00 90.00 90.00°
Element x y z (fractional)
In1 0.500 0.500 0.500
Tc1 0.000 0.000 0.699
Tc2 0.000 0.000 0.301
Y1 0.500 0.500 0.000

Values from the calculation:
The calculated total energy is -31.4 eV/cell. As for the formation energy: 0.94 eV per formula unit. Its space-group type is P4/mmm, No. 123.

# 3
VASP calculation (GGA-PBEsol) on an optimized crystal structure of DyMgTl.

Cell: 4.600 7.445 7.445 Å, 120.00 90.00 90.00°
Element x y z (fractional)
Tl1 0.500 0.667 0.333
Tl2 0.000 0.000 0.000
Tl3 0.500 0.333 0.667
Mg1 0.500 0.757 0.000
Mg2 0.500 0.243 0.243
Mg3 0.500 0.000 0.757
Dy1 0.000 0.569 0.569
Dy2 0.000 0.000 0.431
Dy3 0.000 0.431 0.000

Values from the calculation:
The calculated total energy is -31.4 eV/cell. As for the formation energy: -1.16 eV per formula unit. Its space-group type is P-62m, No. 189.

# 4
VASP calculation (GGA-PBEsol) on an optimized crystal structure of AlHg2W.

Cell: 4.038 4.038 4.281 Å, 90.00 90.00 90.00°
Element x y z (fractional)
Hg1 0.000 0.500 0.000
Hg2 0.500 0.000 0.000
W1 0.500 0.500 0.500
Al1 0.000 0.000 0.500

Values from the calculation:
The calculated total energy is -17.0 eV/cell. As for the formation energy: 2.07 eV per formula unit. Its space-group type is P4/mmm, No. 123.

# 5
VASP calculation (GGA-PBEsol) on an optimized crystal structure of Ca2Zn2Bi.

Cell: 3.706 3.706 9.668 Å, 101.05 101.05 90.00°
Element x y z (fractional)
Zn1 0.250 0.750 0.500
Zn2 0.750 0.250 0.500
Ca1 0.389 0.389 0.778
Ca2 0.611 0.611 0.222
Bi1 0.000 0.000 0.000

Values from the calculation:
The calculated total energy is -13.3 eV/cell. As for the formation energy: -1.63 eV per formula unit. As for the energy relative to the lowest polymorph listed for this composition: 0.000 eV per atom. Its space-group type is I4/mmm, No. 139.

# 6
VASP calculation (GGA-PBEsol) on an optimized crystal structure of CoC4.

Cell: 3.417 3.660 3.417 Å, 117.83 90.00 117.83°
Element x y z (fractional)
C1 0.750 0.500 0.250
C2 0.250 0.500 0.750
C3 0.640 0.280 0.640
C4 0.360 0.720 0.360
Co1 0.000 0.000 0.000

Values from the calculation:
The calculated total energy is -35.8 eV/cell. As for the formation energy: 10.53 eV per formula unit. As for the energy relative to the lowest polymorph listed for this composition: 1.541 eV per atom. Its space-group type is I4/mmm, No. 139.